Below is an optimized crystal structure of Al3V7Ge, with properties calculated at the PBE level.

```
data_Al3V7Ge
_space_group_name_H-M_alt 'C m c m'
_space_group_IT_number 63
_space_group_name_Hall '-C 2c 2'
_cell_length_a 2.585
_cell_length_b 17.828
_cell_length_c 14.166
_cell_angle_alpha 90.00
_cell_angle_beta 90.00
_cell_angle_gamma 90.00
loop_
_atom_site_label
_atom_site_fract_x
_atom_site_fract_y
_atom_site_fract_z
_atom_site_occupancy
Al1 0.000 0.121 0.009 1
Al2 0.000 0.235 0.750 1
V1 0.000 0.257 0.084 1
V2 0.000 0.378 0.161 1
V3 0.000 0.378 0.750 1
V4 0.000 0.499 0.586 1
Ge1 0.000 0.007 0.750 1
```

Energy of formation in eV/f.u.: 1.17